1.
Density functional theory data (PBE-GGA) for a geometry-optimized Cs2Hg2IrCl4 structure.

It has space group I4/mmm (No. 139), with a = 8.121 Å, b = 8.121 Å, c = 8.443 Å, α = 90.00°, β = 90.00° and γ = 90.00°. The inequivalent atoms are Cs at (0.000, 0.500, 0.250), Hg at (0.000, 0.000, 0.172), Ir at (0.000, 0.000, 0.500) and Cl at (0.208, 0.208, 0.500).

The calculation puts the raw formation energy at -0.972 eV per atom. The calculation puts the density of states at the Fermi level at 0.155 states/eV per atom. The crystal system is tetragonal. The calculated volume comes out at 278 Å³/f.u. The calculation puts the total energy at -3.034 eV per atom. The calculation puts the total magnetization at 0.00 μB/cell.

2.
Density functional theory data (PBE-GGA) for a geometry-optimized CsK2HgCl5 structure.

It has space group Immm (No. 71), with a = 5.255 Å, b = 7.668 Å, c = 15.099 Å, α = 90.00°, β = 90.00° and γ = 90.00°. The inequivalent atoms are Cs at (0.000, 0.000, 0.000), K at (0.000, 0.500, 0.206), Hg at (0.000, 0.000, 0.500), Cl at (0.000, 0.243, 0.368) and Cl at (0.000, 0.500, 0.000).

The calculation puts the raw formation energy at -1.507 eV per atom. The calculation puts the density of states at the Fermi level at 0.000 states/eV per atom. The crystal system is orthorhombic. The calculated volume comes out at 304 Å³/f.u. The calculation puts the total energy at -2.905 eV per atom. The calculation puts the total magnetization at 0.00 μB/cell.

3.
Density functional theory data (PBE-GGA) for a geometry-optimized Cs3KHg2Cl8 structure.

It has space group P-3m1 (No. 164), with a = 7.9468 Å, b = 7.9468 Å, c = 10.0282 Å, α = 90.00°, β = 90.00° and γ = 120.00°. The inequivalent atoms are Cs at (0.0000, 0.0000, 0.0000), Cs at (0.3333, 0.6667, 0.6106), K at (0.0000, 0.0000, 0.5000), Hg at (0.3333, 0.6667, 0.1849), Cl at (0.1696, 0.3392, 0.3086) and Cl at (0.3333, 0.6667, 0.9432).

The calculation puts the raw formation energy at -1.398 eV per atom. The calculation puts the density of states at the Fermi level at 0.000 states/eV per atom. The crystal system is trigonal. The calculated volume comes out at 548 Å³/f.u. The calculation puts the total energy at -2.758 eV per atom. The calculation puts the total magnetization at 0.00 μB/cell.

4.
Density functional theory data (PBE-GGA) for a geometry-optimized Cs2KHg2Cl6 structure.

It has space group C2/m (No. 12), with a = 13.386 Å, b = 8.074 Å, c = 9.097 Å, α = 90.00°, β = 118.26° and γ = 90.00°. The inequivalent atoms are Cs at (0.212, 0.000, 0.186), K at (0.000, 0.000, 0.500), Hg at (0.039, 0.500, 0.172), Cl at (0.067, 0.236, 0.811) and Cl at (0.241, 0.500, 0.402).

The calculation puts the raw formation energy at -1.281 eV per atom. The calculation puts the density of states at the Fermi level at 0.503 states/eV per atom. The crystal system is monoclinic. The calculated volume comes out at 433 Å³/f.u. The calculation puts the total energy at -2.598 eV per atom. The calculation puts the total magnetization at 0.82 μB/cell.